# BiAs2SeO | Alexandria via LeMat-Bulk | meta-GGA SCAN | PBEsol geometry
# N(E_F): 2.4 states/eV/f.u.
# formation energy from raw total energies: 327.2 meV per atom
data_BiAs2SeO
_space_group_name_H-M_alt 'P 4/m m m'
_space_group_IT_number 123
_space_group_name_Hall '-P 4 2'
_cell_length_a 4.482
_cell_length_b 4.482
_cell_length_c 4.605
_cell_angle_alpha 90.00
_cell_angle_beta 90.00
_cell_angle_gamma 90.00
loop_
_atom_site_label
_atom_site_type_symbol
_atom_site_fract_x
_atom_site_fract_y
_atom_site_fract_z
Bi1 Bi 0.000 0.000 0.000
As1 As 0.000 0.500 0.500
Se1 Se 0.500 0.500 0.000
O1 O 0.500 0.500 0.500

---

# NiTe5 | Alexandria via LeMat-Bulk | meta-GGA SCAN | PBEsol geometry
# N(E_F): 4.1 states/eV/f.u.
# formation energy from raw total energies: 148.0 meV per atom
data_NiTe5
_space_group_name_H-M_alt 'P -6 2 m'
_space_group_IT_number 189
_space_group_name_Hall 'P -6 -2'
_cell_length_a 6.9396
_cell_length_b 6.9396
_cell_length_c 3.7805
_cell_angle_alpha 90.00
_cell_angle_beta 90.00
_cell_angle_gamma 120.00
loop_
_atom_site_label
_atom_site_type_symbol
_atom_site_fract_x
_atom_site_fract_y
_atom_site_fract_z
Ni1 Ni 0.0000 0.0000 0.0000
Te1 Te 0.0000 0.7381 0.5000
Te2 Te 0.3333 0.6667 0.0000

---

# AlTlPb3 | Alexandria via LeMat-Bulk | meta-GGA SCAN | PBEsol geometry
# N(E_F): 3.4 states/eV/f.u.
# energy relative to the elements: 840 meV/atom
data_AlTlPb3
_space_group_name_H-M_alt 'P m -3 m'
_space_group_IT_number 221
_space_group_name_Hall '-P 4 2 3'
_cell_length_a 5.741
_cell_length_b 5.741
_cell_length_c 5.741
_cell_angle_alpha 90.00
_cell_angle_beta 90.00
_cell_angle_gamma 90.00
loop_
_atom_site_label
_atom_site_type_symbol
_atom_site_fract_x
_atom_site_fract_y
_atom_site_fract_z
Al1 Al 0.000 0.000 0.000
Tl1 Tl 0.500 0.500 0.500
Pb1 Pb 0.000 0.500 0.500

---

# PtSe2IN | Alexandria via LeMat-Bulk | meta-GGA SCAN | PBEsol geometry
# N(E_F): 3.9 states/eV/f.u.
# formation energy from raw total energies: 665.7 meV per atom
data_PtSe2IN
_space_group_name_H-M_alt 'P 4/m m m'
_space_group_IT_number 123
_space_group_name_Hall '-P 4 2'
_cell_length_a 5.246
_cell_length_b 5.246
_cell_length_c 3.668
_cell_angle_alpha 90.00
_cell_angle_beta 90.00
_cell_angle_gamma 90.00
loop_
_atom_site_label
_atom_site_type_symbol
_atom_site_fract_x
_atom_site_fract_y
_atom_site_fract_z
Pt1 Pt 0.000 0.000 0.000
Se1 Se 0.000 0.500 0.000
I1 I 0.500 0.500 0.500
N1 N 0.000 0.000 0.500

---

# Mn3V2Cr3O16 | Alexandria via LeMat-Bulk | meta-GGA SCAN | PBEsol geometry
# N(E_F): 5.9 states/eV/f.u.
# formation energy from raw total energies: -2253.2 meV per atom
data_Mn3V2Cr3O16
_space_group_name_H-M_alt 'C 1 m 1'
_space_group_IT_number 8
_space_group_name_Hall 'C -2y'
_cell_length_a 9.879
_cell_length_b 5.703
_cell_length_c 8.698
_cell_angle_alpha 90.00
_cell_angle_beta 90.20
_cell_angle_gamma 90.00
loop_
_atom_site_label
_atom_site_type_symbol
_atom_site_fract_x
_atom_site_fract_y
_atom_site_fract_z
Mn1 Mn 0.000 0.000 0.000
Mn2 Mn 0.085 0.254 0.499
V1 V 0.003 0.500 0.213
V2 V 0.335 0.500 0.713
Cr1 Cr 0.255 0.254 0.998
Cr2 Cr 0.338 0.000 0.499
O1 O 0.000 0.000 0.614
O2 O 0.007 0.500 0.612
O3 O 0.084 0.261 0.114
O4 O 0.150 0.500 0.376
O5 O 0.167 0.000 0.396
O6 O 0.170 0.000 0.903
O7 O 0.195 0.500 0.868
O8 O 0.258 0.258 0.612
O9 O 0.339 0.500 0.114
O10 O 0.345 0.000 0.113
O11 O 0.412 0.284 0.874
O12 O 0.433 0.217 0.374

---

# Ca2FeRh | Alexandria via LeMat-Bulk | meta-GGA SCAN | PBEsol geometry
# N(E_F): 2.4 states/eV/f.u.
# energy relative to the elements: 407 meV/atom
data_Ca2FeRh
_space_group_name_H-M_alt 'R -3 m'
_space_group_IT_number 166
_space_group_name_Hall '-R 3 2"'
_cell_length_a 3.2032
_cell_length_b 3.2032
_cell_length_c 26.8171
_cell_angle_alpha 90.00
_cell_angle_beta 90.00
_cell_angle_gamma 120.00
loop_
_atom_site_label
_atom_site_type_symbol
_atom_site_fract_x
_atom_site_fract_y
_atom_site_fract_z
Ca1 Ca 0.0000 0.0000 0.2450
Fe1 Fe 0.0000 0.0000 0.0000
Rh1 Rh 0.0000 0.0000 0.5000

---

# HfCo2BiOs | Alexandria via LeMat-Bulk | meta-GGA SCAN | PBEsol geometry
# N(E_F): 2.8 states/eV/f.u.
# energy relative to the elements: 1249 meV/atom
data_HfCo2BiOs
_space_group_name_H-M_alt 'P 4/m m m'
_space_group_IT_number 123
_space_group_name_Hall '-P 4 2'
_cell_length_a 4.425
_cell_length_b 4.425
_cell_length_c 5.103
_cell_angle_alpha 90.00
_cell_angle_beta 90.00
_cell_angle_gamma 90.00
loop_
_atom_site_label
_atom_site_type_symbol
_atom_site_fract_x
_atom_site_fract_y
_atom_site_fract_z
Hf1 Hf 0.000 0.000 0.000
Co1 Co 0.000 0.500 0.500
Bi1 Bi 0.500 0.500 0.000
Os1 Os 0.500 0.500 0.500

---

# CeCdIn | Alexandria via LeMat-Bulk | meta-GGA SCAN | PBEsol geometry
# N(E_F): 3.3 states/eV/f.u.
# energy relative to the elements: -433 meV/atom
data_CeCdIn
_space_group_name_H-M_alt 'P 6/m m m'
_space_group_IT_number 191
_space_group_name_Hall '-P 6 2'
_cell_length_a 5.0543
_cell_length_b 5.0543
_cell_length_c 6.4770
_cell_angle_alpha 90.00
_cell_angle_beta 90.00
_cell_angle_gamma 120.00
loop_
_atom_site_label
_atom_site_type_symbol
_atom_site_fract_x
_atom_site_fract_y
_atom_site_fract_z
Ce1 Ce 0.0000 0.0000 0.2235
Cd1 Cd 0.3333 0.6667 0.0000
In1 In 0.3333 0.6667 0.5000

---

# Re2NiRh | Alexandria via LeMat-Bulk | meta-GGA SCAN | PBEsol geometry
# N(E_F): 4.4 states/eV/f.u.
# energy relative to the elements: 97 meV/atom
data_Re2NiRh
_space_group_name_H-M_alt 'P 4 m m'
_space_group_IT_number 99
_space_group_name_Hall 'P 4 -2'
_cell_length_a 3.111
_cell_length_b 3.111
_cell_length_c 5.542
_cell_angle_alpha 90.00
_cell_angle_beta 90.00
_cell_angle_gamma 90.00
loop_
_atom_site_label
_atom_site_type_symbol
_atom_site_fract_x
_atom_site_fract_y
_atom_site_fract_z
Re1 Re 0.000 0.000 0.000
Re2 Re 0.500 0.500 0.261
Ni1 Ni 0.500 0.500 0.771
Rh1 Rh 0.000 0.000 0.540

---

# CoBiAu2 | Alexandria via LeMat-Bulk | meta-GGA SCAN | PBEsol geometry
# N(E_F): 1.5 states/eV/f.u.
# energy relative to the elements: 262 meV/atom
data_CoBiAu2
_space_group_name_H-M_alt 'I -4 2 d'
_space_group_IT_number 122
_space_group_name_Hall 'I -4 2bw'
_cell_length_a 7.624
_cell_length_b 7.624
_cell_length_c 5.227
_cell_angle_alpha 90.00
_cell_angle_beta 90.00
_cell_angle_gamma 90.00
loop_
_atom_site_label
_atom_site_type_symbol
_atom_site_fract_x
_atom_site_fract_y
_atom_site_fract_z
Co1 Co 0.000 0.000 0.000
Bi1 Bi 0.000 0.000 0.500
Au1 Au 0.207 0.750 0.125

---

# LiInBr2 | Alexandria via LeMat-Bulk | meta-GGA SCAN | PBEsol geometry
# N(E_F): 0.0 states/eV/f.u.
# formation energy from raw total energies: -1108.5 meV per atom
data_LiInBr2
_space_group_name_H-M_alt 'C 1 m 1'
_space_group_IT_number 8
_space_group_name_Hall 'C -2y'
_cell_length_a 12.267
_cell_length_b 4.168
_cell_length_c 4.694
_cell_angle_alpha 90.00
_cell_angle_beta 91.18
_cell_angle_gamma 90.00
loop_
_atom_site_label
_atom_site_type_symbol
_atom_site_fract_x
_atom_site_fract_y
_atom_site_fract_z
Li1 Li 0.000 0.000 0.000
In1 In 0.273 0.000 0.309
Br1 Br 0.028 0.500 0.283
Br2 Br 0.314 0.500 0.797

---

# Mg2ZnPb | Alexandria via LeMat-Bulk | meta-GGA SCAN | PBEsol geometry
# N(E_F): 1.5 states/eV/f.u.
# energy relative to the elements: -53 meV/atom
data_Mg2ZnPb
_space_group_name_H-M_alt 'C 1 2/m 1'
_space_group_IT_number 12
_space_group_name_Hall '-C 2y'
_cell_length_a 9.248
_cell_length_b 3.325
_cell_length_c 5.818
_cell_angle_alpha 90.00
_cell_angle_beta 102.05
_cell_angle_gamma 90.00
loop_
_atom_site_label
_atom_site_type_symbol
_atom_site_fract_x
_atom_site_fract_y
_atom_site_fract_z
Mg1 Mg 0.241 0.000 0.220
Zn1 Zn 0.000 0.500 0.000
Pb1 Pb 0.000 0.000 0.500

---

# YCuSb2 | Alexandria via LeMat-Bulk | meta-GGA SCAN | PBEsol geometry
# N(E_F): 1.2 states/eV/f.u.
# formation energy from raw total energies: -702.0 meV per atom
data_YCuSb2
_space_group_name_H-M_alt 'P 4/n m m'
_space_group_IT_number 129
_cell_length_a 4.256
_cell_length_b 4.256
_cell_length_c 9.671
_cell_angle_alpha 90.00
_cell_angle_beta 90.00
_cell_angle_gamma 90.00
loop_
_space_group_symop_operation_xyz
'x,y,z'
'-x,-y,-z'
'-y+1/2,x,z'
'y+1/2,-x,-z'
'-x+1/2,-y+1/2,z'
'x+1/2,y+1/2,-z'
'y,-x+1/2,z'
'-y,x+1/2,-z'
'x+1/2,-y,-z'
'-x+1/2,y,z'
'-y,-x,-z'
'y,x,z'
'-x,y+1/2,-z'
'x,-y+1/2,z'
'y+1/2,x+1/2,-z'
'-y+1/2,-x+1/2,z'
loop_
_atom_site_label
_atom_site_type_symbol
_atom_site_fract_x
_atom_site_fract_y
_atom_site_fract_z
Y1 Y 0.250 0.250 0.249
Cu1 Cu 0.250 0.750 0.000
Sb1 Sb 0.250 0.250 0.839
Sb2 Sb 0.250 0.750 0.500

---

# CaPSe2N | Alexandria via LeMat-Bulk | meta-GGA SCAN | PBEsol geometry
# N(E_F): 1.8 states/eV/f.u.
# formation energy from raw total energies: -337.3 meV per atom
data_CaPSe2N
_space_group_name_H-M_alt 'P 4/m m m'
_space_group_IT_number 123
_space_group_name_Hall '-P 4 2'
_cell_length_a 5.059
_cell_length_b 5.059
_cell_length_c 3.409
_cell_angle_alpha 90.00
_cell_angle_beta 90.00
_cell_angle_gamma 90.00
loop_
_atom_site_label
_atom_site_type_symbol
_atom_site_fract_x
_atom_site_fract_y
_atom_site_fract_z
Ca1 Ca 0.000 0.000 0.000
P1 P 0.500 0.500 0.500
Se1 Se 0.000 0.500 0.500
N1 N 0.500 0.500 0.000

---

# TaPtSe2S | Alexandria via LeMat-Bulk | meta-GGA SCAN | PBEsol geometry
# N(E_F): 4.7 states/eV/f.u.
# formation energy from raw total energies: 1064.6 meV per atom
data_TaPtSe2S
_space_group_name_H-M_alt 'P 4/m m m'
_space_group_IT_number 123
_space_group_name_Hall '-P 4 2'
_cell_length_a 4.757
_cell_length_b 4.757
_cell_length_c 5.115
_cell_angle_alpha 90.00
_cell_angle_beta 90.00
_cell_angle_gamma 90.00
loop_
_atom_site_label
_atom_site_type_symbol
_atom_site_fract_x
_atom_site_fract_y
_atom_site_fract_z
Ta1 Ta 0.000 0.000 0.000
Pt1 Pt 0.000 0.000 0.500
Se1 Se 0.000 0.500 0.500
S1 S 0.500 0.500 0.000

---

# Sn2IrF | Alexandria via LeMat-Bulk | meta-GGA SCAN | PBEsol geometry
# N(E_F): 2.8 states/eV/f.u.
# formation energy from raw total energies: -615.6 meV per atom
data_Sn2IrF
_space_group_name_H-M_alt 'F m -3 m'
_space_group_IT_number 225
_space_group_name_Hall '-F 4 2 3'
_cell_length_a 6.440
_cell_length_b 6.440
_cell_length_c 6.440
_cell_angle_alpha 90.00
_cell_angle_beta 90.00
_cell_angle_gamma 90.00
loop_
_atom_site_label
_atom_site_type_symbol
_atom_site_fract_x
_atom_site_fract_y
_atom_site_fract_z
Sn1 Sn 0.250 0.250 0.250
Ir1 Ir 0.000 0.000 0.000
F1 F 0.000 0.000 0.500

---

# PtS2 | Alexandria via LeMat-Bulk | meta-GGA SCAN | PBEsol geometry
# formation energy from raw total energies: -471.6 meV per atom
data_PtS2
_space_group_name_H-M_alt 'P -3 m 1'
_space_group_IT_number 164
_space_group_name_Hall '-P 3 2"'
_cell_length_a 3.5685
_cell_length_b 3.5685
_cell_length_c 4.7172
_cell_angle_alpha 90.00
_cell_angle_beta 90.00
_cell_angle_gamma 120.00
loop_
_atom_site_label
_atom_site_type_symbol
_atom_site_fract_x
_atom_site_fract_y
_atom_site_fract_z
Pt1 Pt 0.0000 0.0000 0.0000
S1 S 0.3333 0.6667 0.7466

---

# Hf2GaPb | Alexandria via LeMat-Bulk | meta-GGA SCAN | PBEsol geometry
# N(E_F): 5.1 states/eV/f.u.
# energy relative to the elements: -24 meV/atom
data_Hf2GaPb
_space_group_name_H-M_alt 'F m -3 m'
_space_group_IT_number 225
_space_group_name_Hall '-F 4 2 3'
_cell_length_a 6.884
_cell_length_b 6.884
_cell_length_c 6.884
_cell_angle_alpha 90.00
_cell_angle_beta 90.00
_cell_angle_gamma 90.00
loop_
_atom_site_label
_atom_site_type_symbol
_atom_site_fract_x
_atom_site_fract_y
_atom_site_fract_z
Hf1 Hf 0.250 0.250 0.250
Ga1 Ga 0.000 0.000 0.000
Pb1 Pb 0.000 0.000 0.500

---

# LiTl2Hg | Alexandria via LeMat-Bulk | meta-GGA SCAN | PBEsol geometry
# N(E_F): 1.4 states/eV/f.u.
# energy relative to the elements: -148 meV/atom
data_LiTl2Hg
_space_group_name_H-M_alt 'R 3 m'
_space_group_IT_number 160
_space_group_name_Hall 'R 3 -2"'
_cell_length_a 3.3932
_cell_length_b 3.3932
_cell_length_c 28.5540
_cell_angle_alpha 90.00
_cell_angle_beta 90.00
_cell_angle_gamma 120.00
loop_
_atom_site_label
_atom_site_type_symbol
_atom_site_fract_x
_atom_site_fract_y
_atom_site_fract_z
Li1 Li 0.0000 0.0000 0.0000
Tl1 Tl 0.0000 0.0000 0.2548
Tl2 Tl 0.0000 0.0000 0.4928
Hg1 Hg 0.0000 0.0000 0.7354

---

# Cs3Ba4C3O9F5 | Alexandria via LeMat-Bulk | meta-GGA SCAN | PBEsol geometry
# N(E_F): 0.0 states/eV/f.u.
# formation energy from raw total energies: -2765.1 meV per atom
data_Cs3Ba4C3O9F5
_space_group_name_H-M_alt 'P 63 m c'
_space_group_IT_number 186
_space_group_name_Hall 'P 6c -2c'
_cell_length_a 11.4463
_cell_length_b 11.4463
_cell_length_c 7.5999
_cell_angle_alpha 90.00
_cell_angle_beta 90.00
_cell_angle_gamma 120.00
loop_
_atom_site_label
_atom_site_type_symbol
_atom_site_fract_x
_atom_site_fract_y
_atom_site_fract_z
Cs1 Cs 0.1206 0.2412 0.0000
Ba1 Ba 0.0742 0.5371 0.6616
Ba2 Ba 0.3333 0.6667 0.2081
C1 C 0.1982 0.3964 0.4308
O1 O 0.1095 0.4156 0.3488
O2 O 0.1812 0.3624 0.5959
F1 F 0.0000 0.0000 0.2578
F2 F 0.1442 0.5721 0.9822
F3 F 0.3333 0.6667 0.5639

---

no.,magnetic moment (μB/f.u.),electronic total energy (eV per atom)
1,0.00,-28.73
2,0.00,-33.59
3,0.00,-60.65
4,0.00,-30.61
5,17.00,-12.44
6,2.42,-17.40
7,4.55,-48.30
8,1.37,-36.55
9,0.00,-47.94
10,1.72,-58.29
11,0.00,-19.78
12,0.00,-24.86
13,0.00,-30.09
14,0.00,-14.24
15,0.28,-36.25
16,0.00,-37.24
17,0.00,-30.29
18,0.00,-54.39
19,0.00,-53.97
20,0.18,-18.42